Arrangement one

Material: LaHf2CoN
Method: DFT, PBE
State: optimized geometry

a = 4.335 Å, b = 5.070 Å, c = 4.335 Å
α = 90.00°, β = 90.00°, γ = 90.00°
Atoms (fractional coordinates):
Co (0.500, 0.500, 0.500)
La (0.000, 0.500, 0.000)
Hf (0.000, 0.000, 0.500)
Hf (0.500, 0.000, 0.000)
N (0.000, 0.000, 0.000)

=====

Arrangement two

Material: LaHf2CoN
Method: DFT, PBE
State: optimized geometry

a = 5.181 Å, b = 4.246 Å, c = 5.181 Å
α = 90.00°, β = 90.00°, γ = 90.00°
Atoms (fractional coordinates):
Hf (0.500, 0.000, 0.000)
Hf (0.000, 0.000, 0.500)
N (0.500, 0.500, 0.500)
Co (0.000, 0.500, 0.000)
La (0.000, 0.000, 0.000)

=====

Q: Which of them is the most stable? A: arrangement one.

=====

Arrangement one

Material: LuHfCo2
Method: DFT, PBE
State: optimized geometry

a = 3.188 Å, b = 3.188 Å, c = 6.473 Å
α = 90.00°, β = 90.00°, γ = 90.00°
Each line ends with the local moment (μB).
Atoms (fractional coordinates):
Lu (0.500, 0.500, 0.500)  -0.06
Co (0.000, 0.000, 0.773)  0.28
Co (0.000, 0.000, 0.227)  0.28
Hf (0.500, 0.500, 0.000)  -0.08

=====

Arrangement two

Material: LuHfCo2
Method: DFT, PBE
State: optimized geometry

a = 4.539 Å, b = 4.539 Å, c = 4.539 Å
α = 60.00°, β = 60.00°, γ = 60.00°
Each line ends with the local moment (μB).
Atoms (fractional coordinates):
Hf (0.500, 0.500, 0.500)  0.17
Lu (0.000, 0.000, 0.000)  0.15
Co (0.250, 0.250, 0.250)  -0.79
Co (0.750, 0.750, 0.750)  -0.79

=====

Arrangement three

Material: LuHfCo2
Method: DFT, PBE
State: optimized geometry

a = 3.164 Å, b = 4.562 Å, c = 4.562 Å
α = 90.00°, β = 90.00°, γ = 90.00°
Each line ends with the local moment (μB).
Atoms (fractional coordinates):
Hf (0.500, 0.000, 0.000)  0.14
Co (0.000, 0.500, 0.000)  -0.75
Co (0.000, 0.000, 0.500)  -0.75
Lu (0.500, 0.500, 0.500)  0.16

=====

Q: Which of them is the most stable? A: arrangement one.

=====

Arrangement one

Material: HfMg6Co
Method: DFT, PBE
State: optimized geometry

a = 6.337 Å, b = 6.337 Å, c = 4.785 Å
α = 90.00°, β = 90.00°, γ = 122.49°
Each line ends with the local moment (μB).
Atoms (fractional coordinates):
Mg (0.663, 0.824, 0.000)  0.00
Mg (0.831, 0.683, 0.500)  0.00
Mg (0.176, 0.337, 0.000)  0.00
Mg (0.674, 0.326, 0.000)  0.00
Mg (0.833, 0.167, 0.500)  0.00
Mg (0.317, 0.169, 0.500)  0.00
Hf (0.307, 0.693, 0.500)  -0.11
Co (0.198, 0.802, 0.000)  0.62

=====

Arrangement two

Material: HfMg6Co
Method: DFT, PBE
State: optimized geometry

a = 6.345 Å, b = 6.345 Å, c = 4.898 Å
α = 90.00°, β = 90.00°, γ = 125.90°
Each line ends with the local moment (μB).
Atoms (fractional coordinates):
Mg (0.823, 0.682, 0.000)  0.00
Mg (0.165, 0.328, 0.500)  0.00
Mg (0.672, 0.835, 0.500)  0.00
Mg (0.318, 0.177, 0.000)  0.00
Mg (0.696, 0.304, 0.500)  0.00
Mg (0.168, 0.832, 0.500)  0.00
Co (0.840, 0.160, 0.000)  0.60
Hf (0.319, 0.681, 0.000)  -0.10

=====

Q: Which of them is the most stable? A: arrangement one.

=====

Arrangement one

Material: HfMg3Co
Method: DFT, PBE
State: optimized geometry

a = 5.554 Å, b = 5.554 Å, c = 5.554 Å
α = 90.00°, β = 90.00°, γ = 90.00°
Each line ends with the local moment (μB).
Atoms (fractional coordinates):
Mg (0.500, 0.000, 0.000)  0.00
Mg (0.000, 0.500, 0.000)  0.00
Mg (0.000, 0.000, 0.500)  0.00
Co (0.500, 0.500, 0.500)  2.19
Hf (0.000, 0.000, 0.000)  -0.09

=====

Arrangement two

Material: HfMg3Co
Method: DFT, PBE
State: optimized geometry

a = 4.674 Å, b = 4.674 Å, c = 4.674 Å
α = 90.00°, β = 90.00°, γ = 90.00°
Each line ends with the local moment (μB).
Atoms (fractional coordinates):
Hf (0.500, 0.500, 0.500)  0.08
Co (0.000, 0.000, 0.000)  0.42
Mg (0.500, 0.000, 0.000)  -0.01
Mg (0.000, 0.000, 0.500)  0.00
Mg (0.000, 0.500, 0.000)  -0.01

=====

Q: Which of them is the most stable? A: arrangement two.

=====

Arrangement one

Material: HfMgCo3
Method: DFT, PBE
State: optimized geometry

a = 4.547 Å, b = 4.547 Å, c = 4.547 Å
α = 90.00°, β = 90.00°, γ = 90.00°
Each line ends with the local moment (μB).
Atoms (fractional coordinates):
Mg (0.500, 0.500, 0.500)  -0.01
Co (0.000, 0.000, 0.500)  0.74
Co (0.000, 0.500, 0.000)  0.64
Co (0.500, 0.000, 0.000)  0.46
Hf (0.000, 0.000, 0.000)  -0.19

=====

Arrangement two

Material: HfMgCo3
Method: DFT, PBE
State: optimized geometry

a = 4.224 Å, b = 4.224 Å, c = 4.224 Å
α = 90.00°, β = 90.00°, γ = 90.00°
Each line ends with the local moment (μB).
Atoms (fractional coordinates):
Co (0.500, 0.000, 0.000)  0.41
Co (0.000, 0.500, 0.000)  0.48
Co (0.000, 0.000, 0.500)  0.57
Hf (0.500, 0.500, 0.500)  -0.21
Mg (0.000, 0.000, 0.000)  -0.02

=====

Q: Which of them is the most stable? A: arrangement two.

=====

Arrangement one

Material: HfCoMo3
Method: DFT, PBE
State: optimized geometry

a = 4.494 Å, b = 4.494 Å, c = 4.494 Å
α = 90.00°, β = 90.00°, γ = 90.00°
Atoms (fractional coordinates):
Hf (0.500, 0.500, 0.500)
Mo (0.500, 0.000, 0.000)
Mo (0.000, 0.000, 0.500)
Mo (0.000, 0.500, 0.000)
Co (0.000, 0.000, 0.000)

=====

Arrangement two

Material: HfCoMo3
Method: DFT, PBE
State: optimized geometry

a = 4.721 Å, b = 4.721 Å, c = 4.721 Å
α = 90.00°, β = 90.00°, γ = 90.00°
Atoms (fractional coordinates):
Co (0.500, 0.500, 0.500)
Mo (0.500, 0.000, 0.000)
Mo (0.000, 0.500, 0.000)
Mo (0.000, 0.000, 0.500)
Hf (0.000, 0.000, 0.000)

=====

Q: Which of them is the most stable? A: arrangement one.